Na2ReNi2O6 | GGA+U | relaxed

Computed properties:
Final energy in eV per atom: -5.953
DOS(E_F) in states/eV/cell: 2.521

Cell lengths 5.232, 5.232, 5.793 Å; angles 99.77, 99.77, 118.80 degrees
Each line ends with the local moment (μB).
Positions (direct):
1 Na 0.824 0.176 0.000  0.00
2 Na 0.176 0.824 0.000  0.00
3 Re 0.000 0.000 0.500  0.85
4 Ni 0.336 0.664 0.500  1.76
5 Ni 0.664 0.336 0.500  1.76
6 O 0.763 0.763 0.695  0.07
7 O 0.065 0.380 0.696  0.08
8 O 0.237 0.237 0.305  0.07
9 O 0.380 0.065 0.696  0.08
10 O 0.935 0.620 0.304  0.08
11 O 0.620 0.935 0.304  0.08